First-principles (GGA+U) data for As2WO8 after structural relaxation, as listed in Alexandria via LeMat-Bulk.

a b c (Å): 6.316 5.412 5.412
angles (deg): 120.00 90.00 90.00
Atoms (fractional coordinates):
As 0.799 0.667 0.333
As 0.201 0.333 0.667
W 0.500 0.000 0.000
O 0.942 0.333 0.667
O 0.058 0.667 0.333
O 0.323 0.167 0.333
O 0.677 0.833 0.667
O 0.677 0.333 0.167
O 0.323 0.667 0.833
O 0.323 0.167 0.833
O 0.677 0.833 0.167

Computed properties:
Space group: P-3m1
VASP energy (eV per atom): -6.410